# NdDy7Tl2 | the Alexandria database | GGA-PBE | optimized geometry
data_NdDy7Tl2
_space_group_name_H-M_alt 'C m m m'
_space_group_IT_number 65
_space_group_name_Hall '-C 2 2'
_cell_length_a 9.167
_cell_length_b 15.344
_cell_length_c 5.480
_cell_angle_alpha 90.00
_cell_angle_beta 90.00
_cell_angle_gamma 90.00
loop_
_atom_site_label
_atom_site_fract_x
_atom_site_fract_y
_atom_site_fract_z
Nd1 0.000 0.000 0.000
Dy1 0.000 0.232 0.000
Dy2 0.000 0.500 0.500
Dy3 0.181 0.122 0.500
Tl1 0.000 0.305 0.500
# energy relative to the elements: 360 meV per atom
# density of states at the Fermi level: 1.96 states/eV per atom
# magnetic moment: 0.21 μB per atom